Arrangement P

Compound: RhAuCl
Source: the Alexandria database
Functional: PBE
Structure: optimized geometry Values from VASP.

```
&SYSTEM
  ibrav = 0, nat = 3, ntyp = 3
/
ATOMIC_SPECIES
Cl 35.45 Cl.upf
Rh 102.91 Rh.upf
Au 196.97 Au.upf
CELL_PARAMETERS angstrom
7.267 0.004 -0.003
6.304 2.907 -0.009
0.963 -1.268 2.611
ATOMIC_POSITIONS angstrom
Cl 4.841 0.017 1.804
Rh 9.516 1.567 0.832
Au 1.141 -1.209 2.574
```

=====

Arrangement Q

Compound: RhAuCl
Source: the Alexandria database
Functional: PBE
Structure: optimized geometry Values from VASP.

```
&SYSTEM
  ibrav = 0, nat = 3, ntyp = 3
/
ATOMIC_SPECIES
Cl 35.45 Cl.upf
Rh 102.91 Rh.upf
Au 196.97 Au.upf
CELL_PARAMETERS angstrom
3.381 0.000 0.000
-1.691 2.928 0.000
0.000 0.000 5.947
ATOMIC_POSITIONS angstrom
Cl 1.691 0.976 2.408
Rh 0.000 1.952 3.818
Au 0.000 0.000 5.668
```

=====

Arrangement R

Compound: RhAuCl
Source: the Alexandria database
Functional: PBE
Structure: optimized geometry Values from VASP.

```
&SYSTEM
  ibrav = 0, nat = 12, ntyp = 3
/
ATOMIC_SPECIES
Cl 35.45 Cl.upf
Rh 102.91 Rh.upf
Au 196.97 Au.upf
CELL_PARAMETERS angstrom
-5.470 -1.157 -6.993
-1.371 -2.641 1.509
-5.756 5.465 4.336
ATOMIC_POSITIONS angstrom
Cl -9.209 2.642 -0.052
Rh -5.042 1.676 2.042
Rh -7.556 -0.009 -3.190
Rh -9.749 4.044 -1.777
Cl -3.388 -0.976 -1.097
Au -8.784 2.409 -3.762
Cl -5.581 3.077 0.317
Au -6.591 -1.644 -5.175
Au -6.007 3.310 4.027
Rh -1.478 0.264 -0.881
Cl -5.646 1.231 -2.974
Au -2.443 1.899 1.104
```

=====

Arrangement S

Compound: RhAuCl
Source: the Alexandria database
Functional: PBE
Structure: optimized geometry Values from VASP.

```
&SYSTEM
  ibrav = 0, nat = 12, ntyp = 3
/
ATOMIC_SPECIES
Cl 35.45 Cl.upf
Au 196.97 Au.upf
Rh 102.91 Rh.upf
CELL_PARAMETERS angstrom
7.468 0.000 0.009
0.000 2.861 0.000
-4.552 0.000 10.233
ATOMIC_POSITIONS angstrom
Cl 2.618 0.000 6.211
Cl 0.005 1.431 4.805
Au 0.233 0.000 8.200
Au 2.509 1.431 3.084
Rh 3.767 0.000 8.177
Cl 4.894 1.431 1.095
Rh 4.330 0.000 4.620
Cl -2.271 0.000 9.922
Rh 6.043 1.431 3.060
Au 0.535 0.000 1.562
Au -1.742 1.431 6.678
Rh 2.054 1.431 9.737
```

=====

Need the numbers? Relative energies in kJ/mol of atoms: arrangement P 24.5; arrangement Q 18.8; arrangement R 0.0; arrangement S 9.7.

=====

Arrangement P

Compound: RhAuS2Cl
Source: the Alexandria database
Functional: PBE
Structure: optimized geometry Values from VASP.

```
&SYSTEM
  ibrav = 0, nat = 5, ntyp = 4
/
ATOMIC_SPECIES
Rh 102.91 Rh.upf
Au 196.97 Au.upf
Cl 35.45 Cl.upf
S 32.06 S.upf
CELL_PARAMETERS angstrom
-3.304 2.263 -2.312
-2.842 -3.610 0.528
-1.615 1.878 4.145
ATOMIC_POSITIONS angstrom
Rh 0.000 0.000 0.000
Au -3.880 0.265 1.180
Cl -0.807 0.939 2.072
S -1.652 1.131 -1.156
S -1.421 -1.805 0.264
```

=====

Arrangement Q

Compound: RhAuS2Cl
Source: the Alexandria database
Functional: PBE
Structure: optimized geometry Values from VASP.

```
&SYSTEM
  ibrav = 0, nat = 5, ntyp = 4
/
ATOMIC_SPECIES
S 32.06 S.upf
Cl 35.45 Cl.upf
Au 196.97 Au.upf
Rh 102.91 Rh.upf
CELL_PARAMETERS angstrom
-1.087 -3.287 -3.447
2.578 -3.313 2.347
-3.979 -1.317 2.510
ATOMIC_POSITIONS angstrom
S -1.989 -0.659 1.255
Cl 1.289 -1.657 1.174
Au 0.000 0.000 0.000
Rh -1.244 -3.959 0.705
S -0.543 -1.643 -1.723
```

=====

Need the numbers? Relative energies in kJ/mol of atoms: arrangement P 0.0; arrangement Q 53.0.

=====

Arrangement P

Compound: RuAuCl
Source: the Alexandria database
Functional: PBE
Structure: optimized geometry Values from VASP.

```
&SYSTEM
  ibrav = 0, nat = 3, ntyp = 3
/
ATOMIC_SPECIES
Au 196.97 Au.upf
Cl 35.45 Cl.upf
Ru 101.07 Ru.upf
CELL_PARAMETERS angstrom
6.788 0.005 0.000
5.446 4.053 0.000
-6.117 -2.029 2.132
ATOMIC_POSITIONS angstrom
Au 0.369 0.122 0.000
Cl 3.643 1.208 0.000
Ru 8.222 2.727 0.000
```

=====

Arrangement Q

Compound: RuAuCl
Source: the Alexandria database
Functional: PBE
Structure: optimized geometry Values from VASP.

```
&SYSTEM
  ibrav = 0, nat = 3, ntyp = 3
/
ATOMIC_SPECIES
Au 196.97 Au.upf
Ru 101.07 Ru.upf
Cl 35.45 Cl.upf
CELL_PARAMETERS angstrom
4.421 0.000 0.000
2.211 3.829 0.000
2.211 1.276 3.610
ATOMIC_POSITIONS angstrom
Au 0.000 0.000 0.000
Ru 6.632 3.829 2.707
Cl 4.421 2.552 1.805
```

=====

Need the numbers? Relative energies in kJ/mol of atoms: arrangement P 0.0; arrangement Q 24.1.

=====

Arrangement P

Compound: RuAuCl
Source: the Alexandria database
Functional: PBE
Structure: optimized geometry Values from VASP.

```
&SYSTEM
  ibrav = 0, nat = 3, ntyp = 3
/
ATOMIC_SPECIES
Cl 35.45 Cl.upf
Au 196.97 Au.upf
Ru 101.07 Ru.upf
CELL_PARAMETERS angstrom
4.544 0.000 0.000
2.272 3.936 0.000
2.272 1.312 3.710
ATOMIC_POSITIONS angstrom
Cl 0.000 0.000 0.000
Au 6.817 3.936 2.783
Ru 4.544 2.624 1.855
```

=====

Arrangement Q

Compound: RuAuCl
Source: the Alexandria database
Functional: PBE
Structure: optimized geometry Values from VASP.

```
&SYSTEM
  ibrav = 0, nat = 3, ntyp = 3
/
ATOMIC_SPECIES
Ru 101.07 Ru.upf
Au 196.97 Au.upf
Cl 35.45 Cl.upf
CELL_PARAMETERS angstrom
7.674 0.013 -0.007
6.766 2.876 -0.009
0.908 -1.400 2.497
ATOMIC_POSITIONS angstrom
Ru 10.097 1.512 0.790
Au 1.125 -1.331 2.457
Cl 5.032 -0.093 1.731
```

=====

Need the numbers? Relative energies in kJ/mol of atoms: arrangement P 69.9; arrangement Q 0.0.

=====

Arrangement P

Compound: RuAu2Cl
Source: the Alexandria database
Functional: PBE
Structure: optimized geometry Values from VASP.

```
&SYSTEM
  ibrav = 0, nat = 4, ntyp = 3
/
ATOMIC_SPECIES
Ru 101.07 Ru.upf
Au 196.97 Au.upf
Cl 35.45 Cl.upf
CELL_PARAMETERS angstrom
-0.114 -2.462 -1.876
-0.375 -1.714 2.271
-8.804 0.400 0.010
ATOMIC_POSITIONS angstrom
Ru -6.909 -1.852 0.293
Au -1.996 -1.824 -0.042
Cl -5.212 -0.802 1.369
Au -8.946 -1.269 2.208
```

=====

Arrangement Q

Compound: RuAu2Cl
Source: the Alexandria database
Functional: PBE
Structure: optimized geometry Values from VASP.

```
&SYSTEM
  ibrav = 0, nat = 4, ntyp = 3
/
ATOMIC_SPECIES
Au 196.97 Au.upf
Cl 35.45 Cl.upf
Ru 101.07 Ru.upf
CELL_PARAMETERS angstrom
-1.731 2.746 -3.937
-0.923 -4.298 -2.592
-2.591 -0.092 1.075
ATOMIC_POSITIONS angstrom
Au 0.000 0.000 0.000
Cl -2.161 1.327 -1.431
Au -1.327 -0.776 -3.264
Ru -1.757 -2.195 -0.758
```

=====

Arrangement R

Compound: RuAu2Cl
Source: the Alexandria database
Functional: PBE
Structure: optimized geometry Values from VASP.

```
&SYSTEM
  ibrav = 0, nat = 4, ntyp = 3
/
ATOMIC_SPECIES
Cl 35.45 Cl.upf
Au 196.97 Au.upf
Ru 101.07 Ru.upf
CELL_PARAMETERS angstrom
-5.281 4.337 0.619
-4.745 1.496 4.725
6.338 -0.789 -2.509
ATOMIC_POSITIONS angstrom
Cl -1.711 1.812 2.444
Au -9.455 5.500 5.039
Au -5.585 3.249 2.977
Ru -1.979 3.232 0.391
```

=====

Arrangement S

Compound: RuAu2Cl
Source: the Alexandria database
Functional: PBE
Structure: optimized geometry Values from VASP.

```
&SYSTEM
  ibrav = 0, nat = 4, ntyp = 3
/
ATOMIC_SPECIES
Cl 35.45 Cl.upf
Au 196.97 Au.upf
Ru 101.07 Ru.upf
CELL_PARAMETERS angstrom
6.964 0.046 -0.003
4.817 5.030 0.003
-5.414 -3.643 2.432
ATOMIC_POSITIONS angstrom
Cl 6.877 2.963 0.000
Au 10.751 4.632 0.000
Au 2.947 2.092 1.217
Ru 3.464 -0.640 1.214
```

=====

Need the numbers? Relative energies in kJ/mol of atoms: arrangement P 0.0; arrangement Q 48.7; arrangement R 13.9; arrangement S 4.2.

=====

Arrangement P

Compound: RuAu2Cl
Source: the Alexandria database
Functional: PBE
Structure: optimized geometry Values from VASP.

```
&SYSTEM
  ibrav = 0, nat = 4, ntyp = 3
/
ATOMIC_SPECIES
Cl 35.45 Cl.upf
Au 196.97 Au.upf
Ru 101.07 Ru.upf
CELL_PARAMETERS angstrom
4.875 0.000 0.000
0.000 3.872 0.000
0.000 0.000 3.872
ATOMIC_POSITIONS angstrom
Cl 2.437 1.936 0.000
Au 0.000 1.936 1.936
Ru 2.437 0.000 1.936
Au 0.000 0.000 0.000
```

=====

Arrangement Q

Compound: RuAu2Cl
Source: the Alexandria database
Functional: PBE
Structure: optimized geometry Values from VASP.

```
&SYSTEM
  ibrav = 0, nat = 4, ntyp = 3
/
ATOMIC_SPECIES
Cl 35.45 Cl.upf
Ru 101.07 Ru.upf
Au 196.97 Au.upf
CELL_PARAMETERS angstrom
0.674 -4.503 -1.182
-0.331 -3.366 3.271
-3.635 -2.987 -0.057
ATOMIC_POSITIONS angstrom
Cl 0.000 0.000 0.000
Ru -1.645 -5.428 1.016
Au -0.823 -2.714 0.508
Au -2.468 -8.142 1.524
```

=====

Arrangement R

Compound: RuAu2Cl
Source: the Alexandria database
Functional: PBE
Structure: optimized geometry Values from VASP.

```
&SYSTEM
  ibrav = 0, nat = 4, ntyp = 3
/
ATOMIC_SPECIES
Cl 35.45 Cl.upf
Au 196.97 Au.upf
Ru 101.07 Ru.upf
CELL_PARAMETERS angstrom
5.606 0.128 0.000
2.798 4.859 0.000
-4.202 -2.494 2.751
ATOMIC_POSITIONS angstrom
Cl 1.399 2.430 1.375
Au 4.202 2.494 0.000
Au 0.000 0.000 0.000
Ru 2.803 0.064 1.375
```

=====

Arrangement S

Compound: RuAu2Cl
Source: the Alexandria database
Functional: PBE
Structure: optimized geometry Values from VASP.

```
&SYSTEM
  ibrav = 0, nat = 4, ntyp = 3
/
ATOMIC_SPECIES
Cl 35.45 Cl.upf
Au 196.97 Au.upf
Ru 101.07 Ru.upf
CELL_PARAMETERS angstrom
-0.943 0.134 -2.791
-1.625 -1.223 2.136
-4.324 9.054 1.895
ATOMIC_POSITIONS angstrom
Cl -2.428 5.084 1.064
Au -2.249 1.476 0.095
Ru -4.492 6.172 1.078
Au -4.210 8.814 1.845
```

=====

Need the numbers? Relative energies in kJ/mol of atoms: arrangement P 38.4; arrangement Q 47.3; arrangement R 39.9; arrangement S 0.0.